Pm3Pr2Ga3: optimized geometry, PBE.

## Properties
Electronic total energy in eV per atom: -4.513
DFT formation energy in eV per formula unit: -3.21
Calculated density in g cm⁻³: 6.95

Structure (POSCAR):
```
Pm3Pr2Ga3
1.0
-1.885 2.623 11.179
1.885 -2.623 11.179
1.885 2.623 -11.179
Pm Pr Ga
3 2 3
direct
0.000 0.000 0.000 Pm
0.386 0.886 0.500 Pm
0.614 0.114 0.500 Pm
0.226 0.226 0.000 Pr
0.774 0.774 0.000 Pr
0.115 0.615 0.500 Ga
0.500 0.500 0.000 Ga
0.885 0.385 0.500 Ga
```